A relaxed structure of TaBe, computed with PBE.

Cell lengths 4.0893, 4.0893, 4.7231 Å; angles 90.00, 90.00, 120.00 degrees
Fractional positions:
Ta 0.6667 0.3333 0.2500
Ta 0.3333 0.6667 0.7500
Be 0.6667 0.3333 0.7500
Be 0.3333 0.6667 0.2500

Calculated values
**Formation energy**: 1.17 eV/atom
**Total moment**: 0.00 μB per cell
**Total energy**: -26.47 eV for the cell shown
**SG**: No. 194
**Excess energy over the best structure of this formula in the dataset**: 1358 meV per atom
**Calculated density**: 9.22 g cm⁻³

A relaxed structure of Ta5Be, computed with PBE.

Cell lengths 3.4536, 4.4112, 7.0497 Å; angles 108.23, 90.00, 90.00 degrees
Fractional positions:
Be 0.0000 0.0000 0.0000
Ta 0.0000 0.6628 0.3255
Ta 0.5000 0.8432 0.6864
Ta 0.5000 0.5000 0.0000
Ta 0.5000 0.1568 0.3136
Ta 0.0000 0.3372 0.6745

Calculated values
**Formation energy**: 0.10 eV/atom
**Total moment**: 0.00 μB per cell
**Total energy**: -62.41 eV for the cell shown
**SG**: No. 65
**Excess energy over the best structure of this formula in the dataset**: 22 meV per atom
**Calculated density**: 14.87 g cm⁻³

A relaxed structure of Ta3Be, computed with PBE.

Cell lengths 5.2315, 6.2777, 7.8355 Å; angles 90.00, 90.00, 90.00 degrees
Fractional positions:
Ta 0.6275 0.4686 0.2500
Ta 0.8725 0.9686 0.2500
Be 0.9110 0.3936 0.7500
Ta 0.3723 0.8040 0.0465
Be 0.0890 0.6064 0.2500
Ta 0.8723 0.6960 0.5465
Ta 0.3723 0.8040 0.4535
Ta 0.1277 0.3040 0.0465
Ta 0.1275 0.0314 0.7500
Ta 0.1277 0.3040 0.4535
Ta 0.3725 0.5314 0.7500
Ta 0.8723 0.6960 0.9535
Ta 0.6277 0.1960 0.9535
Be 0.5890 0.8936 0.7500
Ta 0.6277 0.1960 0.5465
Be 0.4110 0.1064 0.2500

Calculated values
**Formation energy**: 0.00 eV/atom
**Total moment**: 0.00 μB per cell
**Total energy**: -157.10 eV for the cell shown
**SG**: No. 62
**Excess energy over the best structure of this formula in the dataset**: 0 meV per atom
**Calculated density**: 14.24 g cm⁻³

A relaxed structure of TaBe, computed with PBE.

Cell lengths 4.5023, 4.5023, 6.8564 Å; angles 90.00, 90.00, 120.00 degrees
Fractional positions:
Be 0.3333 0.6667 0.3974
Be 0.6667 0.3333 0.8974
Ta 0.0000 0.0000 0.7500
Ta 0.3333 0.6667 0.7500
Ta 0.6667 0.3333 0.2500
Be 0.3333 0.6667 0.1026
Be 0.6667 0.3333 0.6026
Ta 0.0000 0.0000 0.2500

Calculated values
**Formation energy**: 0.80 eV/atom
**Total moment**: 0.00 μB per cell
**Total energy**: -55.90 eV for the cell shown
**SG**: No. 194
**Excess energy over the best structure of this formula in the dataset**: 987 meV per atom
**Calculated density**: 10.48 g cm⁻³

A relaxed structure of TaBe, computed with PBE.

Cell lengths 4.2640, 4.2640, 10.4280 Å; angles 90.00, 90.00, 120.00 degrees
Fractional positions:
Be 0.3333 0.6667 0.5197
Be 0.0000 0.0000 0.8933
Ta 0.3333 0.6667 0.0624
Ta 0.0000 0.0000 0.3645
Ta 0.3333 0.6667 0.7818
Ta 0.6667 0.3333 0.9376
Ta 0.6667 0.3333 0.2182
Be 0.3333 0.6667 0.3086
Be 0.0000 0.0000 0.1067
Be 0.6667 0.3333 0.6914
Be 0.6667 0.3333 0.4803
Ta 0.0000 0.0000 0.6355

Calculated values
**Formation energy**: 0.13 eV/atom
**Total moment**: 0.00 μB per cell
**Total energy**: -91.91 eV for the cell shown
**SG**: No. 164
**Excess energy over the best structure of this formula in the dataset**: 316 meV per atom
**Calculated density**: 11.53 g cm⁻³

A relaxed structure of TaBe, computed with PBE.

Cell lengths 6.7906, 6.7906, 4.7983 Å; angles 90.00, 90.00, 90.00 degrees
Fractional positions:
Ta 0.4397 0.7999 0.5000
Ta 0.2001 0.4397 0.5000
Ta 0.0603 0.7001 0.0000
Be 0.4200 0.7011 0.0000
Ta 0.2999 0.0603 0.0000
Ta 0.9397 0.2999 0.0000
Be 0.0800 0.7989 0.5000
Be 0.2989 0.4200 0.0000
Ta 0.5603 0.2001 0.5000
Be 0.5800 0.2989 0.0000
Be 0.2011 0.0800 0.5000
Be 0.9200 0.2011 0.5000
Be 0.7011 0.5800 0.0000
Ta 0.7999 0.5603 0.5000
Be 0.7989 0.9200 0.5000
Ta 0.7001 0.9397 0.0000

Calculated values
**Formation energy**: 0.21 eV/atom
**Total moment**: 0.00 μB per cell
**Total energy**: -121.35 eV for the cell shown
**SG**: No. 87
**Excess energy over the best structure of this formula in the dataset**: 391 meV per atom
**Calculated density**: 11.40 g cm⁻³

A relaxed structure of Ta2Be, computed with PBE.

Cell lengths 4.9261, 4.9261, 4.9261 Å; angles 104.38, 104.38, 120.22 degrees
Fractional positions:
Ta 0.3395 0.1605 0.5000
Be 0.7500 0.7500 0.0000
Ta 0.8395 0.3395 0.1790
Ta 0.6605 0.8395 0.5000
Be 0.2500 0.2500 0.0000
Ta 0.1605 0.6605 0.8210

Calculated values
**Formation energy**: -0.17 eV/atom
**Total moment**: 0.00 μB per cell
**Total energy**: -55.87 eV for the cell shown
**SG**: No. 140
**Excess energy over the best structure of this formula in the dataset**: 0 meV per atom
**Calculated density**: 13.75 g cm⁻³

A relaxed structure of Ta4Be5, computed with PBE.

Cell lengths 6.0166, 6.0166, 6.0166 Å; angles 95.12, 95.12, 145.22 degrees
Fractional positions:
Ta 0.0000 0.3082 0.3082
Be 0.3453 0.6547 0.0000
Be 0.6547 0.3453 0.0000
Ta 0.0000 0.6918 0.6918
Be 0.6547 0.6547 0.3094
Be 0.3453 0.3453 0.6906
Be 0.0000 0.0000 0.0000
Ta 0.3082 0.0000 0.3082
Ta 0.6918 0.0000 0.6918

Calculated values
**Formation energy**: 0.04 eV/atom
**Total moment**: 0.00 μB per cell
**Total energy**: -65.64 eV for the cell shown
**SG**: No. 139
**Excess energy over the best structure of this formula in the dataset**: 7 meV per atom
**Calculated density**: 10.77 g cm⁻³

A relaxed structure of Ta3Be, computed with PBE.

Cell lengths 2.8726, 2.8726, 9.4044 Å; angles 90.00, 90.00, 120.00 degrees
Fractional positions:
Ta 0.0000 0.0000 0.5000
Be 0.0000 0.0000 0.0000
Ta 0.6667 0.3333 0.7758
Ta 0.6667 0.3333 0.2242

Calculated values
**Formation energy**: 0.34 eV/atom
**Total moment**: 0.00 μB per cell
**Total energy**: -37.93 eV for the cell shown
**SG**: No. 187
**Excess energy over the best structure of this formula in the dataset**: 336 meV per atom
**Calculated density**: 13.64 g cm⁻³

A relaxed structure of Ta2Be, computed with PBE.

Cell lengths 3.4592, 6.5304, 8.0308 Å; angles 90.00, 90.00, 90.00 degrees
Fractional positions:
Be 0.7500 0.2542 0.6344
Ta 0.2500 0.5429 0.6659
Ta 0.7500 0.4571 0.3341
Ta 0.7500 0.3610 0.9312
Ta 0.2500 0.1390 0.4312
Be 0.2500 0.7458 0.3656
Ta 0.7500 0.9571 0.1659
Ta 0.7500 0.8610 0.5688
Be 0.2500 0.2458 0.1344
Ta 0.2500 0.0429 0.8341
Ta 0.2500 0.6390 0.0688
Be 0.7500 0.7542 0.8656

Calculated values
**Formation energy**: -0.04 eV/atom
**Total moment**: 0.00 μB per cell
**Total energy**: -110.16 eV for the cell shown
**SG**: No. 62
**Excess energy over the best structure of this formula in the dataset**: 132 meV per atom
**Calculated density**: 13.58 g cm⁻³

A relaxed structure of TaBe5, computed with PBE.

Cell lengths 7.0130, 7.0130, 3.5539 Å; angles 90.00, 90.00, 159.42 degrees
Fractional positions:
Be 0.7934 0.2066 0.5000
Be 0.3304 0.6696 0.0000
Be 0.7014 0.2986 0.0000
Be 0.4340 0.5660 0.5000
Ta 0.1103 0.8897 0.5000
Be 0.9638 0.0362 0.0000

Calculated values
**Formation energy**: 0.15 eV/atom
**Total moment**: 0.00 μB per cell
**Total energy**: -29.58 eV for the cell shown
**SG**: No. 38
**Calculated density**: 6.11 g cm⁻³

A relaxed structure of Ta2Be, computed with PBE.

Cell lengths 6.7725, 6.7725, 3.4463 Å; angles 90.00, 90.00, 120.00 degrees
Fractional positions:
Ta 0.4040 0.4040 0.5000
Be 0.6667 0.3333 0.0000
Ta 0.0000 0.2551 0.0000
Ta 0.7449 0.7449 0.0000
Ta 0.2551 0.0000 0.0000
Ta 0.5960 0.0000 0.5000
Be 0.3333 0.6667 0.0000
Ta 0.0000 0.5960 0.5000
Be 0.0000 0.0000 0.5000

Calculated values
**Formation energy**: -0.09 eV/atom
**Total moment**: 0.00 μB per cell
**Total energy**: -83.13 eV for the cell shown
**SG**: No. 189
**Excess energy over the best structure of this formula in the dataset**: 74 meV per atom
**Calculated density**: 13.50 g cm⁻³